Computed, not measured: a relaxed structure of PuZnHRh2 at the PBE level of DFT.

Unit cell a=6.056 b=6.056 c=6.343 alpha=90.00 beta=90.00 gamma=139.21
Element x y z (fractional)
Pu (0.094, 0.906, 0.750)
Pu (0.906, 0.094, 0.250)
Zn (0.180, 0.820, 0.250)
Zn (0.820, 0.180, 0.750)
H (0.500, 0.500, 0.000)
H (0.500, 0.500, 0.500)
Rh (0.347, 0.653, 0.523)
Rh (0.347, 0.653, 0.977)
Rh (0.653, 0.347, 0.023)
Rh (0.653, 0.347, 0.477)

## Properties
- density of states at the Fermi level (states/eV/atom) = 2.1822
- space-group type = Cmcm, No. 63
- total DFT energy (no corrections) (eV/atom) = -7.0659
- total moment (μB per atom) = 0.9779

---

Computed, not measured: a relaxed structure of Ho4MgRh5 at the PBE level of DFT.

Unit cell a=3.376 b=3.376 c=16.571 alpha=90.00 beta=90.00 gamma=90.00
Element x y z (fractional)
Ho (0.000, 0.000, 0.104)
Ho (0.000, 0.000, 0.311)
Ho (0.000, 0.000, 0.689)
Ho (0.000, 0.000, 0.896)
Mg (0.000, 0.000, 0.500)
Rh (0.500, 0.500, 0.000)
Rh (0.500, 0.500, 0.205)
Rh (0.500, 0.500, 0.410)
Rh (0.500, 0.500, 0.590)
Rh (0.500, 0.500, 0.795)

## Properties
- formation energy from the elements (eV/f.u.) = -8.30
- density of states at the Fermi level (states/eV/atom) = 0.4075
- space-group type = P4/mmm, No. 123
- total moment (μB per atom) = 0.0000

---

Computed, not measured: a relaxed structure of LaTlIn at the PBE level of DFT.

Unit cell a=3.751 b=3.801 c=12.390 alpha=90.00 beta=90.00 gamma=90.00
Element x y z (fractional)
La (0.000, 0.000, 0.000)
La (0.500, 0.500, 0.500)
Tl (0.000, 0.000, 0.319)
Tl (0.500, 0.500, 0.819)
In (0.000, 0.000, 0.675)
In (0.500, 0.500, 0.175)

## Properties
- formation energy from the elements (eV/f.u.) = -0.89
- density of states at the Fermi level (states/eV/atom) = 0.7466
- space-group type = Imm2, No. 44
- total moment (μB per atom) = 0.0000